ScCr2Ir | PBE-GGA | optimized geometry

Results
SG = Fm-3m, No. 225
Energy relative to the elements = 0.216 eV/f.u.
Raw total energy = -34.224 eV per formula unit
Relative energy among the computed polymorphs = 0.222 eV per atom

Unit cell a=4.3043 b=4.3043 c=4.3043 alpha=60.00 beta=60.00 gamma=60.00
Last column: nearest neighbours and their distance in Å.
Fractional coordinates of all 4 atoms:
Sc (0.0000, 0.0000, 0.0000)  8 Cr 2.64
Cr (0.2500, 0.2500, 0.2500)  4 Ir 2.64, 4 Sc 2.64
Cr (0.7500, 0.7500, 0.7500)  4 Ir 2.64, 4 Sc 2.64
Ir (0.5000, 0.5000, 0.5000)  8 Cr 2.64

***

ScCr2Ir | PBE-GGA | optimized geometry

Results
SG = Cmm2, No. 35
Energy relative to the elements = 0.398 eV/f.u.
Raw total energy = -34.042 eV per formula unit
Relative energy among the computed polymorphs = 0.267 eV per atom

Unit cell a=2.7681 b=2.7681 c=8.1743 alpha=90.00 beta=90.00 gamma=111.26
Last column: nearest neighbours and their distance in Å.
Fractional coordinates of all 4 atoms:
Sc (0.0000, 0.0000, 0.0000)  2 Ir 2.69, 4 Sc 2.77, 2 Cr 2.78
Cr (0.0000, 0.0000, 0.4817)  2 Cr 2.26
Cr (0.5000, 0.5000, 0.2817)  2 Cr 2.26
Ir (0.5000, 0.5000, 0.7328)  2 Cr 2.58, 2 Sc 2.69, 4 Ir 2.77

***

ScCrIr2 | PBE-GGA | optimized geometry

Results
SG = I-42d, No. 122
Energy relative to the elements = -0.058 eV/f.u.
Raw total energy = -33.735 eV per formula unit
Relative energy among the computed polymorphs = 0.460 eV per atom

Unit cell a=5.6699 b=5.6699 c=5.6699 alpha=102.75 beta=102.75 gamma=123.96
Last column: nearest neighbours and their distance in Å.
Fractional coordinates of all 8 atoms:
Sc (0.0000, 0.0000, 0.0000)  2 Cr 2.66, 4 Ir 2.85
Sc (0.7500, 0.2500, 0.5000)  2 Cr 2.66, 4 Ir 2.85
Cr (0.2500, 0.7500, 0.5000)  4 Ir 2.36
Cr (0.5000, 0.5000, 0.0000)  4 Ir 2.36
Ir (0.1755, 0.6250, 0.0505)  2 Cr 2.36
Ir (0.3750, 0.4255, 0.5505)  2 Cr 2.36
Ir (0.5745, 0.1250, 0.9495)  2 Cr 2.36
Ir (0.8750, 0.8245, 0.4495)  2 Cr 2.36

***

ScCrIr2 | PBE-GGA | optimized geometry

Results
SG = I4/mmm, No. 139
Energy relative to the elements = -1.719 eV/f.u.
Raw total energy = -35.396 eV per formula unit
Relative energy among the computed polymorphs = 0.045 eV per atom

Unit cell a=4.6166 b=4.6166 c=4.6166 alpha=126.44 beta=126.44 gamma=79.16
Last column: nearest neighbours and their distance in Å.
Fractional coordinates of all 4 atoms:
Sc (0.0000, 0.0000, 0.0000)  8 Ir 2.74, 4 Cr 2.94
Cr (0.5000, 0.5000, 0.0000)  8 Ir 2.74, 4 Sc 2.94
Ir (0.2500, 0.7500, 0.5000)  4 Cr 2.74, 4 Sc 2.74, 4 Ir 2.94
Ir (0.7500, 0.2500, 0.5000)  4 Cr 2.74, 4 Sc 2.74, 4 Ir 2.94

***

ScCr2Ir | PBE-GGA | optimized geometry

Results
SG = P4/mmm, No. 123
Energy relative to the elements = 0.677 eV/f.u.
Raw total energy = -33.762 eV per formula unit
Relative energy among the computed polymorphs = 0.337 eV per atom

Unit cell a=2.7332 b=2.7332 c=7.9253 alpha=90.00 beta=90.00 gamma=90.00
Last column: nearest neighbours and their distance in Å.
Fractional coordinates of all 4 atoms:
Sc (0.0000, 0.0000, 0.0000)  4 Sc 2.73, 8 Cr 2.93
Cr (0.5000, 0.5000, 0.2772)  4 Ir 2.62, 4 Cr 2.73, 4 Sc 2.93
Cr (0.5000, 0.5000, 0.7228)  4 Ir 2.62, 4 Cr 2.73, 4 Sc 2.93
Ir (0.0000, 0.0000, 0.5000)  8 Cr 2.62, 4 Ir 2.73

***

ScCr2Ir | PBE-GGA | optimized geometry

Results
SG = R3m, No. 160
Energy relative to the elements = 0.638 eV/f.u.
Raw total energy = -33.801 eV per formula unit
Relative energy among the computed polymorphs = 0.328 eV per atom

Unit cell a=8.3932 b=8.3932 c=8.3932 alpha=19.76 beta=19.76 gamma=19.76
Last column: nearest neighbours and their distance in Å.
Fractional coordinates of all 4 atoms:
Sc (0.0000, 0.0000, 0.0000)  3 Ir 2.82, 3 Cr 2.85, 6 Sc 2.88
Cr (0.2394, 0.2394, 0.2394)  3 Cr 2.31
Cr (0.5080, 0.5080, 0.5080)  3 Cr 2.31
Ir (0.7588, 0.7588, 0.7588)  3 Cr 2.63, 3 Sc 2.82, 6 Ir 2.88

***

ScCrIr2 | PBE-GGA | optimized geometry

Results
SG = I-4m2, No. 119
Energy relative to the elements = -1.320 eV/f.u.
Raw total energy = -34.997 eV per formula unit
Relative energy among the computed polymorphs = 0.145 eV per atom

Unit cell a=4.9773 b=4.9773 c=4.9773 alpha=134.46 beta=134.46 gamma=66.37
Last column: nearest neighbours and their distance in Å.
Fractional coordinates of all 4 atoms:
Sc (0.0000, 0.0000, 0.0000)  8 Ir 2.72-2.84, 4 Cr 2.84
Cr (0.2500, 0.7500, 0.5000)  8 Ir 2.72-2.84, 4 Sc 2.84
Ir (0.5000, 0.5000, 0.0000)  4 Sc 2.72, 4 Cr 2.84, 4 Ir 2.84
Ir (0.7500, 0.2500, 0.5000)  4 Cr 2.72, 4 Ir 2.84, 4 Sc 2.84

***

ScCr2Ir | PBE-GGA | optimized geometry

Results
SG = P4/mmm, No. 123
Energy relative to the elements = 0.446 eV/f.u.
Raw total energy = -33.993 eV per formula unit
Relative energy among the computed polymorphs = 0.280 eV per atom

Unit cell a=4.3977 b=4.3977 c=2.9685 alpha=90.00 beta=90.00 gamma=90.00
Last column: nearest neighbours and their distance in Å.
Fractional coordinates of all 4 atoms:
Sc (0.0000, 0.0000, 0.0000)  8 Cr 2.65, 2 Sc 2.97
Cr (0.0000, 0.5000, 0.5000)  4 Sc 2.65, 4 Ir 2.65, 2 Cr 2.97
Cr (0.5000, 0.0000, 0.5000)  4 Sc 2.65, 4 Ir 2.65, 2 Cr 2.97
Ir (0.5000, 0.5000, 0.0000)  8 Cr 2.65, 2 Ir 2.97

***

ScCr2Ir2 | PBE-GGA | optimized geometry

Results
SG = I4/mmm, No. 139
Energy relative to the elements = -0.837 eV/f.u.
Raw total energy = -44.137 eV per formula unit
Relative energy among the computed polymorphs = 0.073 eV per atom

Unit cell a=5.9367 b=5.9367 c=5.9367 alpha=140.81 beta=140.81 gamma=56.63
Last column: nearest neighbours and their distance in Å.
Fractional coordinates of all 5 atoms:
Sc (0.0000, 0.0000, 0.0000)  8 Ir 3.08, 8 Cr 3.29
Cr (0.2500, 0.7500, 0.5000)  4 Ir 2.42
Cr (0.7500, 0.2500, 0.5000)  4 Ir 2.42
Ir (0.3814, 0.3814, 0.0000)  4 Cr 2.42, 1 Ir 2.48
Ir (0.6186, 0.6186, 0.0000)  4 Cr 2.42, 1 Ir 2.48

***

ScCrIr2 | PBE-GGA | optimized geometry

Results
SG = Cmmm, No. 65
Energy relative to the elements = -1.879 eV/f.u.
Raw total energy = -35.556 eV per formula unit
Relative energy among the computed polymorphs = 0.005 eV per atom

Unit cell a=4.5435 b=4.5435 c=3.0033 alpha=90.00 beta=90.00 gamma=97.42
Last column: nearest neighbours and their distance in Å.
Fractional coordinates of all 4 atoms:
Sc (0.0000, 0.0000, 0.0000)  8 Ir 2.72, 2 Cr 3.00, 2 Sc 3.00
Cr (0.5000, 0.5000, 0.0000)  8 Ir 2.72, 2 Sc 3.00, 2 Cr 3.00
Ir (0.0000, 0.5000, 0.5000)  4 Cr 2.72, 4 Sc 2.72, 4 Ir 3.00
Ir (0.5000, 0.0000, 0.5000)  4 Cr 2.72, 4 Sc 2.72, 4 Ir 3.00

***

| no. | mass density (Mg/m³) |
| --- | --- |
| 1 | 10.05 |
| 2 | 9.71 |
| 3 | 11.98 |
| 4 | 12.98 |
| 5 | 9.57 |
| 6 | 9.58 |
| 7 | 12.93 |
| 8 | 9.87 |
| 9 | 10.69 |
| 10 | 13.00 |